No. 1
First-principles (PBE-GGA) data for a geometry-optimized SrLi2Se structure, as listed in Alexandria via LeMat-Bulk.

The density of states at the Fermi level is 0.22 states/eV/cell. As for the formation energy (no corrections): -0.650 eV/atom.

The structure belongs to space group Cmmm (No. 65); the cell edges are 5.596, 5.607 and 6.348 Å and the angles 90.00°, 90.00° and 90.00°. Symmetry generates all atoms from Sr at (0.000, 0.000, 0.000), Li at (0.000, 0.500, 0.311) and Se at (0.000, 0.000, 0.500).

=====

No. 2
First-principles (PBE-GGA) data for a geometry-optimized SrLiSe structure, as listed in Alexandria via LeMat-Bulk.

The density of states at the Fermi level is 7.11 states/eV/cell. As for the formation energy (no corrections): -1.029 eV/atom. The value obtained for the offset from the most stable computed form is 169.9 meV per atom.

The structure belongs to space group F-43m (No. 216); the cell edges are 7.033, 7.033 and 7.033 Å and the angles 90.00°, 90.00° and 90.00°. Symmetry generates all atoms from Sr at (0.000, 0.000, 0.000), Li at (0.000, 0.000, 0.500) and Se at (0.250, 0.250, 0.250).

=====

No. 3
First-principles (PBE-GGA) data for a geometry-optimized SrLi2Se structure, as listed in Alexandria via LeMat-Bulk.

The density of states at the Fermi level is 2.67 states/eV/cell. As for the formation energy (no corrections): -0.846 eV/atom.

The structure belongs to space group R3m (No. 160, hexagonal axes); the cell edges are 4.2617, 4.2617 and 18.7750 Å and the angles 90.00°, 90.00° and 120.00°. Symmetry generates all atoms from Sr at (0.0000, 0.0000, 0.0000), Li at (0.0000, 0.0000, 0.5149), Li at (0.0000, 0.0000, 0.8003) and Se at (0.0000, 0.0000, 0.2136).

=====

No. 4
First-principles (PBE-GGA) data for a geometry-optimized Sr2LiSe structure, as listed in Alexandria via LeMat-Bulk.

The density of states at the Fermi level is 3.93 states/eV/cell. As for the formation energy (no corrections): -0.874 eV/atom.

The structure belongs to space group C2/m (No. 12); the cell edges are 7.489, 4.322 and 9.542 Å and the angles 90.00°, 105.07° and 90.00°. Symmetry generates all atoms from Sr at (0.234, 0.000, 0.203), Li at (0.000, 0.000, 0.500) and Se at (0.000, 0.500, 0.000).

=====

No. 5
First-principles (PBE-GGA) data for a geometry-optimized SrLi2Se structure, as listed in Alexandria via LeMat-Bulk.

The density of states at the Fermi level is 2.10 states/eV/cell. As for the formation energy (no corrections): -0.540 eV/atom.

The structure belongs to space group I-4m2 (No. 119); the cell edges are 5.259, 5.259 and 7.461 Å and the angles 90.00°, 90.00° and 90.00°. Symmetry generates all atoms from Sr at (0.000, 0.000, 0.000), Li at (0.000, 0.000, 0.500), Li at (0.000, 0.500, 0.750) and Se at (0.000, 0.500, 0.250).

=====

No. 6
First-principles (PBE-GGA) data for a geometry-optimized Sr2LiSe structure, as listed in Alexandria via LeMat-Bulk.

The density of states at the Fermi level is 4.29 states/eV/cell. As for the formation energy (no corrections): -0.872 eV/atom.

The structure belongs to space group Amm2 (No. 38); the cell edges are 4.360, 4.540 and 12.835 Å and the angles 90.00°, 90.00° and 90.00°. Symmetry generates all atoms from Sr at (0.000, 0.000, 0.000), Sr at (0.500, 0.000, 0.283), Li at (0.500, 0.000, 0.586) and Se at (0.000, 0.000, 0.706).